## K2CuH3 (GGA-PBE)

Data for an optimized crystal structure of K2CuH3.

Output
Space-group type: Cmce (64)
Calculated total energy in eV for the cell shown: -69.57
Distance to the lowest polymorph of the same formula in meV/atom: 0

Cell: 5.5679 6.3297 13.0620 Å, 90.00 90.00 116.09°
Last column: nearest neighbours and their distance in Å.
Sites, in units of the cell vectors:
K  0.4469  0.8939  0.3472  6 H 2.70-3.01
Cu  0.2392  0.4783  0.6708  4 H 1.66-1.75
K  0.3475  0.6949  0.9243  7 H 2.79-2.94
K  0.1525  0.3051  0.4243  7 H 2.79-2.94
K  0.9469  0.8939  0.1528  6 H 2.70-3.01
H  0.5974  0.1948  0.8655  1 Cu 1.68
H  0.4901  0.4803  0.2500  2 Cu 1.75
H  0.9901  0.4803  0.2500  2 Cu 1.75
H  0.9026  0.8052  0.3655  1 Cu 1.68
H  0.6664  0.3328  0.4262  1 Cu 1.66
K  0.8475  0.6949  0.5757  7 H 2.79-2.94
H  0.0974  0.1948  0.6345  1 Cu 1.68
H  0.8336  0.6672  0.9262  1 Cu 1.66
H  0.0099  0.5197  0.7500  2 Cu 1.75
H  0.1664  0.3328  0.0738  1 Cu 1.66
K  0.0531  0.1061  0.8472  6 H 2.70-3.01
Cu  0.2608  0.5217  0.1708  4 H 1.66-1.75
K  0.6525  0.3051  0.0757  7 H 2.79-2.94
H  0.5099  0.5197  0.7500  2 Cu 1.75
H  0.3336  0.6672  0.5738  1 Cu 1.66
H  0.4026  0.8052  0.1345  1 Cu 1.68
K  0.5531  0.1061  0.6528  6 H 2.70-3.01
Cu  0.7608  0.5217  0.3292  4 H 1.66-1.75
Cu  0.7392  0.4783  0.8292  4 H 1.66-1.75

=====

## K2CuH4 (GGA-PBE)

Data for an optimized crystal structure of K2CuH4.

Output
Space-group type: I4/mmm (139)
Calculated total energy in eV for the cell shown: -19.87

Cell: 3.8376 3.8376 7.3309 Å, 105.17 105.17 90.00°
Last column: nearest neighbours and their distance in Å.
Sites, in units of the cell vectors:
Cu  0.0000  0.0000  0.0000  2 H 1.68
H  0.5000  0.0000  0.0000  2 Cu 1.92
H  0.0000  0.5000  0.0000  2 Cu 1.92
H  0.1232  0.1232  0.2463  1 Cu 1.68
K  0.3635  0.3635  0.7269  8 H 2.67-2.72
K  0.6365  0.6365  0.2731  8 H 2.67-2.72
H  0.8768  0.8768  0.7537  1 Cu 1.68